(1)
TlSb2As (PBE, optimized geometry); crystal system = tetragonal; total energy = -14.510 eV/cell; distance to the lowest polymorph of the same formula = 0.074 eV/atom
1.0
3.908 0.000 0.000
0.000 3.908 0.000
0.000 0.000 7.175
As Sb Tl
1 2 1
direct
0.500 0.500 0.750
0.000 0.000 0.547
0.000 0.000 0.953
0.500 0.500 0.250

***

(2)
TlSbAs2 (PBE, optimized geometry); crystal system = orthorhombic; total energy = -15.058 eV/cell; distance to the lowest polymorph of the same formula = 0.078 eV/atom
1.0
3.657 0.000 0.000
0.000 4.347 0.000
0.000 0.000 6.769
Tl Sb As
1 1 2
direct
0.500 0.500 0.750
0.500 0.500 0.250
0.000 0.000 0.431
0.000 0.000 0.069

***

(3)
Tl12Sb3As (PBE, optimized geometry); crystal system = tetragonal; total energy = -45.067 eV/cell
1.0
4.905 0.000 0.000
0.000 4.905 0.000
0.000 0.000 20.054
Tl Sb As
12 3 1
direct
0.500 0.500 0.000
0.000 0.500 0.882
0.500 0.000 0.882
0.000 0.500 0.118
0.500 0.500 0.500
0.500 0.500 0.244
0.500 0.500 0.756
0.500 0.000 0.118
0.000 0.500 0.373
0.000 0.500 0.627
0.500 0.000 0.627
0.500 0.000 0.373
0.000 0.000 0.751
0.000 0.000 0.500
0.000 0.000 0.249
0.000 0.000 0.000

***

(4)
TlSbAs2 (PBE, optimized geometry); crystal system = tetragonal; total energy = -14.466 eV/cell; distance to the lowest polymorph of the same formula = 0.226 eV/atom
1.0
-2.722 -4.232 -0.344
1.894 -1.577 4.400
-2.820 1.667 1.811
Sb As Tl
1 2 1
direct
0.500 0.000 0.500
0.000 0.000 0.000
0.500 0.500 0.000
0.000 0.500 0.500

***

(5)
TlSb2As (PBE, optimized geometry); crystal system = tetragonal; total energy = -14.015 eV/cell; distance to the lowest polymorph of the same formula = 0.198 eV/atom
1.0
6.259 0.577 0.000
2.646 5.702 0.000
-4.453 -3.139 3.135
Sb Tl As
2 1 1
direct
0.000 0.000 0.000
0.500 0.500 0.000
0.250 0.750 0.500
0.750 0.250 0.500

***

(6)
Tl2SbAs (PBE, optimized geometry); crystal system = triclinic; total energy = -13.350 eV/cell; distance to the lowest polymorph of the same formula = 0.019 eV/atom
1.0
-1.218 0.354 -4.223
-2.802 -2.852 0.565
-6.694 3.592 -0.048
Tl As Sb
2 1 1
direct
0.412 0.822 0.367
0.776 0.184 0.633
0.699 0.498 0.000
0.113 0.996 0.000